Record 1
Density functional theory data (PBEsol) for an optimized crystal structure of Nb3GeS6.

Results
Formation energy without anion corrections in eV/f.u.: -10.6
Crystal system: hexagonal

Structure (CIF):
```
data_Nb3GeS6
_symmetry_space_group_name_H-M 'P 1'
_symmetry_Int_Tables_number 1
_symmetry_space_group_name_Hall 'P 1'
_cell_length_a 5.7486
_cell_length_b 5.7486
_cell_length_c 13.4625
_cell_angle_alpha 90.00
_cell_angle_beta 90.00
_cell_angle_gamma 120.00
loop_
_atom_site_label
_atom_site_fract_x
_atom_site_fract_y
_atom_site_fract_z
_atom_site_occupancy
Nb1 0.0000 0.0000 0.2500 1
Nb2 0.0000 0.0000 0.7500 1
Nb3 0.3333 0.6667 0.2500 1
Nb4 0.3333 0.6667 0.7500 1
Nb5 0.6667 0.3333 0.2500 1
Nb6 0.6667 0.3333 0.7500 1
Ge1 0.0000 0.0000 0.0000 1
Ge2 0.0000 0.0000 0.5000 1
S1 0.0000 0.3348 0.1336 1
S2 0.0000 0.3348 0.3664 1
S3 0.0000 0.6652 0.6336 1
S4 0.0000 0.6652 0.8664 1
S5 0.3348 0.0000 0.1336 1
S6 0.3348 0.0000 0.3664 1
S7 0.3348 0.3348 0.6336 1
S8 0.3348 0.3348 0.8664 1
S9 0.6652 0.0000 0.6336 1
S10 0.6652 0.0000 0.8664 1
S11 0.6652 0.6652 0.1336 1
S12 0.6652 0.6652 0.3664 1
```



Record 2
Density functional theory data (PBEsol) for an optimized crystal structure of Al2InBr.

Results
Formation energy without anion corrections in eV/f.u.: 0.3
Crystal system: orthorhombic

Structure (CIF):
```
data_Al2InBr
_symmetry_space_group_name_H-M 'P 1'
_symmetry_Int_Tables_number 1
_symmetry_space_group_name_Hall 'P 1'
_cell_length_a 5.9252
_cell_length_b 5.9252
_cell_length_c 5.9252
_cell_angle_alpha 148.02
_cell_angle_beta 126.63
_cell_angle_gamma 63.58
loop_
_atom_site_label
_atom_site_fract_x
_atom_site_fract_y
_atom_site_fract_z
_atom_site_occupancy
Al1 0.0000 0.0000 0.0000 1
Al2 0.7793 0.2793 0.5000 1
In1 0.2578 0.7578 0.5000 1
Br1 0.5471 0.5471 0.0000 1
```



Record 3
Density functional theory data (PBEsol) for an optimized crystal structure of CrCoO4.

Results
Formation energy without anion corrections in eV/f.u.: -8.6
Crystal system: orthorhombic

Structure (CIF):
```
data_CrCoO4
_symmetry_space_group_name_H-M 'P 1'
_symmetry_Int_Tables_number 1
_symmetry_space_group_name_Hall 'P 1'
_cell_length_a 4.7860
_cell_length_b 4.7860
_cell_length_c 5.8367
_cell_angle_alpha 90.00
_cell_angle_beta 90.00
_cell_angle_gamma 111.40
loop_
_atom_site_label
_atom_site_fract_x
_atom_site_fract_y
_atom_site_fract_z
_atom_site_occupancy
Cr1 0.1426 0.8574 0.7500 1
Cr2 0.8574 0.1426 0.2500 1
Co1 0.5000 0.5000 0.0000 1
Co2 0.5000 0.5000 0.5000 1
O1 0.2492 0.2879 0.2500 1
O2 0.2664 0.7336 0.5252 1
O3 0.2664 0.7336 0.9748 1
O4 0.2879 0.2492 0.7500 1
O5 0.7121 0.7508 0.2500 1
O6 0.7336 0.2664 0.0252 1
O7 0.7336 0.2664 0.4748 1
O8 0.7508 0.7121 0.7500 1
```



Record 4
Density functional theory data (PBEsol) for an optimized crystal structure of TlTcPt2.

Results
Formation enthalpy at 0 K in eV per atom: 0.177
Crystal system: monoclinic

Structure (CIF):
```
data_TlTcPt2
_symmetry_space_group_name_H-M 'P 1'
_symmetry_Int_Tables_number 1
_symmetry_space_group_name_Hall 'P 1'
_cell_length_a 2.7711
_cell_length_b 3.6448
_cell_length_c 6.7731
_cell_angle_alpha 90.00
_cell_angle_beta 96.18
_cell_angle_gamma 90.00
loop_
_atom_site_label
_atom_site_fract_x
_atom_site_fract_y
_atom_site_fract_z
_atom_site_occupancy
Tl1 0.0000 0.0000 0.0000 1
Tc1 0.0000 0.0000 0.5000 1
Pt1 0.4392 0.5000 0.2922 1
Pt2 0.5608 0.5000 0.7078 1
```



| no. | total magnetic moment (μB/f.u.) | total DFT energy (no corrections) (eV/atom) |
| --- | --- | --- |
| 1 | 0.0 | -7.433 |
| 2 | 0.0 | -3.184 |
| 3 | 0.5 | -7.935 |
| 4 | 0.0 | -6.779 |